An optimized crystal structure of Te3Se, computed with GGA-PBE.

a b c (Å): 5.5714 5.5714 5.5714
angles (deg): 90.00 90.00 90.00
Fractional coordinates of all 4 atoms:
1 Te 0.0000 0.0000 0.5000
2 Te 0.0000 0.5000 0.0000
3 Te 0.5000 0.0000 0.0000
4 Se 0.0000 0.0000 0.0000

## Properties
- Crystal system: cubic
- ΔE_f (raw): 2.481 eV/f.u.
- DOS at the Fermi energy: 1.33 states/eV/atom
- Spin magnetization: 1.05 Bohr magnetons per cell

An optimized crystal structure of LaTm3B4O12, computed with GGA-PBE.

a b c (Å): 6.4930 6.4930 6.4930
angles (deg): 102.54 102.54 102.54
Fractional coordinates of all 20 atoms:
1 La 0.0000 0.0000 0.0000
2 Tm 0.0000 0.5402 0.4598
3 Tm 0.4598 0.0000 0.5402
4 Tm 0.5402 0.4598 0.0000
5 B 0.0412 0.5000 0.9588
6 B 0.5000 0.5000 0.5000
7 B 0.5000 0.9588 0.0412
8 B 0.9588 0.0412 0.5000
9 O 0.0280 0.6298 0.8152
10 O 0.0955 0.9045 0.5000
11 O 0.1848 0.3702 0.9720
12 O 0.3632 0.6368 0.5000
13 O 0.3702 0.9720 0.1848
14 O 0.5000 0.0955 0.9045
15 O 0.5000 0.3632 0.6368
16 O 0.6298 0.8152 0.0280
17 O 0.6368 0.5000 0.3632
18 O 0.8152 0.0280 0.6298
19 O 0.9045 0.5000 0.0955
20 O 0.9720 0.1848 0.3702

## Properties
- Crystal system: trigonal
- ΔE_f (raw): -62.526 eV/f.u.
- DOS at the Fermi energy: 0.00 states/eV/atom
- Spin magnetization: 0.00 Bohr magnetons per cell